Compound: Rb2NiCl2F4
Source: the Alexandria database
Functional: PBE with a Hubbard U
Structure: relaxed

```
9
Lattice="-3.165 4.174 3.174 2.078 -4.524 3.569 5.050 2.369 -2.532" Properties=species:S:1:pos:R:3 pbc="T T T"
Rb 1.238 -0.713 3.631
Rb 2.724 2.733 0.581
Ni 0.000 0.000 0.000
Cl 4.751 -1.436 0.692
Cl 2.377 -0.718 0.346
F 2.635 -3.232 2.426
F 3.813 0.860 2.828
F 4.493 1.078 -1.389
F 0.149 1.160 1.384
```

Properties
Space-group type   No. 139
Final energy   -31.80 eV/cell
Size of the total moment   0.002 Bohr magnetons per cell